Entry 1:
Entry from Alexandria: an optimized crystal structure of KCd (GGA-PBE).

```
KCd
1.0
8.2714 0.0000 0.0000
0.0000 9.9658 0.0000
0.0000 0.0000 3.7322
K Cd
4 4
Direct
0.0000 0.7066 0.0000
0.0000 0.2934 0.0000
0.5000 0.2066 0.0000
0.5000 0.7934 0.0000
0.8187 0.0000 0.5000
0.1813 0.0000 0.5000
0.3187 0.5000 0.5000
0.6813 0.5000 0.5000
```

- DFT total energy: -8.4 eV per cell
- DOS at the Fermi energy: 0.440 states/eV per atom
- Magnetic moment: 0.0 μB/f.u.
- ρ: 3.271 g/cm³
- Energy of formation: -0.04 eV/atom

=====

Entry 2:
Entry from Alexandria: an optimized crystal structure of KCd (GGA-PBE).

```
KCd
1.0
-8.5156 -5.1913 3.6480
4.9516 -9.2551 -1.6118
3.9673 0.4085 9.8421
K Cd
8 8
Direct
0.2091 0.2091 0.2091
0.2091 0.7909 0.7909
0.7909 0.2091 0.7909
0.7909 0.7909 0.2091
0.7091 0.7091 0.7091
0.7091 0.2909 0.2909
0.2909 0.7091 0.2909
0.2909 0.2909 0.7091
0.3977 0.3977 0.3977
0.3977 0.6023 0.6023
0.6023 0.3977 0.6023
0.6023 0.6023 0.3977
0.8977 0.8977 0.8977
0.8977 0.1023 0.1023
0.1023 0.8977 0.1023
0.1023 0.1023 0.8977
```

- DFT total energy: -13.3 eV per cell
- DOS at the Fermi energy: 1.053 states/eV per atom
- Magnetic moment: 0.0 μB/f.u.
- ρ: 1.681 g/cm³
- Energy of formation: 0.18 eV/atom

=====

Entry 3:
Entry from Alexandria: an optimized crystal structure of KCd (GGA-PBE).

```
KCd
1.0
-7.2794 -2.2163 0.2484
2.4670 -8.1629 -0.5360
0.5198 -0.5316 10.4879
K Cd
8 8
Direct
0.0703 0.3903 0.9890
0.5703 0.1097 0.0110
0.9297 0.8903 0.5110
0.4297 0.6097 0.4890
0.3356 0.1513 0.6468
0.8356 0.3487 0.3532
0.6644 0.6513 0.8532
0.1644 0.8487 0.1468
0.7065 0.7565 0.2072
0.2065 0.7435 0.7928
0.2935 0.2565 0.2928
0.7935 0.2435 0.7072
0.0276 0.5005 0.6427
0.5276 0.9995 0.3573
0.9724 0.0005 0.8573
0.4724 0.4995 0.1427
```

- DFT total energy: -16.6 eV per cell
- DOS at the Fermi energy: 0.645 states/eV per atom
- Magnetic moment: 0.0 μB/f.u.
- ρ: 2.943 g/cm³
- Energy of formation: -0.03 eV/atom

=====

Entry 4:
Entry from Alexandria: an optimized crystal structure of KCd (GGA-PBE).

```
KCd
1.0
-4.9545 -4.0314 -3.7056
-4.4879 -5.7197 1.2937
-7.2596 -1.3332 0.2273
K Cd
2 2
Direct
0.4758 0.4758 0.4758
0.2742 0.2742 0.2742
0.0423 0.0423 0.0423
0.7077 0.7077 0.7077
```

- DFT total energy: -4.3 eV per cell
- DOS at the Fermi energy: 0.340 states/eV per atom
- Magnetic moment: 0.0 μB/f.u.
- ρ: 3.081 g/cm³
- Energy of formation: -0.06 eV/atom

=====

Entry 5:
Entry from Alexandria: an optimized crystal structure of K3Cd (GGA-PBE).

```
K3Cd
1.0
-1.8665 5.4648 1.1730
-5.4873 -1.5606 -1.4760
-1.0562 -1.5570 5.5730
K Cd
3 1
Direct
0.0000 0.5000 0.5000
0.5000 0.0000 0.5000
0.5000 0.5000 0.0000
0.0000 0.0000 0.0000
```

- DFT total energy: -4.1 eV per cell
- DOS at the Fermi energy: 0.375 states/eV per atom
- Magnetic moment: 0.0 μB/f.u.
- ρ: 1.867 g/cm³
- Energy of formation: 0.02 eV/atom

=====

Entry 6:
Entry from Alexandria: an optimized crystal structure of K3Cd (GGA-PBE).

```
K3Cd
1.0
-0.0852 -2.2607 -4.2676
9.5031 -1.8100 0.7690
-2.5355 -8.2566 4.4245
K Cd
6 2
Direct
0.2500 0.8568 0.1432
0.7500 0.1432 0.8568
0.2500 0.4238 0.1759
0.7500 0.5762 0.8241
0.2500 0.8241 0.5762
0.7500 0.1759 0.4238
0.7500 0.5658 0.4342
0.2500 0.4342 0.5658
```

- DFT total energy: -8.5 eV per cell
- DOS at the Fermi energy: 0.552 states/eV per atom
- Magnetic moment: 0.0 μB/f.u.
- ρ: 1.680 g/cm³
- Energy of formation: -0.01 eV/atom

=====

Entry 7:
Entry from Alexandria: an optimized crystal structure of K2Cd (GGA-PBE).

```
K2Cd
1.0
0.0000 5.4572 5.4572
5.4572 0.0000 5.4572
5.4572 5.4572 0.0000
K Cd
4 2
Direct
0.6250 0.1250 0.1250
0.1250 0.6250 0.1250
0.1250 0.1250 0.6250
0.1250 0.1250 0.1250
0.5000 0.5000 0.5000
0.7500 0.7500 0.7500
```

- DFT total energy: -4.8 eV per cell
- DOS at the Fermi energy: 0.766 states/eV per atom
- Magnetic moment: 0.0 μB/f.u.
- ρ: 1.947 g/cm³
- Energy of formation: 0.23 eV/atom
- Distance to the lowest polymorph of the same formula: 262 meV per atom

=====

Entry 8:
Entry from Alexandria: an optimized crystal structure of K3Cd (GGA-PBE).

```
K3Cd
1.0
4.5858 0.0000 0.0000
-2.2929 3.9714 0.0000
0.0000 0.0000 12.6873
K Cd
3 1
Direct
0.0000 0.0000 0.5000
0.6667 0.3333 0.1982
0.6667 0.3333 0.8018
0.0000 0.0000 0.0000
```

- DFT total energy: -4.0 eV per cell
- DOS at the Fermi energy: 0.883 states/eV per atom
- Magnetic moment: 0.0 μB/f.u.
- ρ: 1.651 g/cm³
- Energy of formation: 0.05 eV/atom

=====

Entry 9:
Entry from Alexandria: an optimized crystal structure of K2Cd (GGA-PBE).

```
K2Cd
1.0
4.3654 0.0000 0.0000
2.1827 6.9090 -0.0210
2.1827 2.9197 9.7396
K Cd
4 2
Direct
0.1719 0.2913 0.3649
0.5148 0.1558 0.8147
0.4852 0.8442 0.1853
0.8281 0.7087 0.6351
0.7977 0.3499 0.0547
0.2023 0.6501 0.9453
```

- DFT total energy: -6.3 eV per cell
- DOS at the Fermi energy: 0.607 states/eV per atom
- Magnetic moment: 0.0 μB/f.u.
- ρ: 2.153 g/cm³
- Energy of formation: -0.02 eV/atom
- Distance to the lowest polymorph of the same formula: 10 meV per atom

=====

Entry 10:
Entry from Alexandria: an optimized crystal structure of K2Cd (GGA-PBE).

```
K2Cd
1.0
8.7544 0.0000 0.0000
0.0000 8.7544 0.0000
0.0000 0.0000 8.7544
K Cd
8 4
Direct
0.6540 0.6540 0.3460
0.3460 0.3460 0.6540
0.1540 0.8460 0.6540
0.8460 0.1540 0.3460
0.3460 0.1540 0.1540
0.6540 0.8460 0.8460
0.8460 0.3460 0.8460
0.1540 0.6540 0.1540
0.0000 0.0000 0.0000
0.5000 0.5000 0.0000
0.5000 0.0000 0.5000
0.0000 0.5000 0.5000
```

- DFT total energy: -11.9 eV per cell
- DOS at the Fermi energy: 0.544 states/eV per atom
- Magnetic moment: 0.0 μB/f.u.
- ρ: 1.887 g/cm³
- Energy of formation: 0.04 eV/atom
- Distance to the lowest polymorph of the same formula: 75 meV per atom

=====

Entry 11:
Entry from Alexandria: an optimized crystal structure of KCd (GGA-PBE).

```
KCd
1.0
-1.7783 1.1419 -4.4473
1.9290 -2.9458 -1.5277
-3.2563 -2.4776 0.6659
K Cd
1 1
Direct
0.0000 0.5000 0.5000
0.5000 0.0000 0.0000
```

- DFT total energy: -2.0 eV per cell
- DOS at the Fermi energy: 0.623 states/eV per atom
- Magnetic moment: 0.0 μB/f.u.
- ρ: 3.211 g/cm³
- Energy of formation: 0.00 eV/atom

=====

Entry 12:
Entry from Alexandria: an optimized crystal structure of KCd (GGA-PBE).

```
KCd
1.0
-5.1805 0.7357 1.4406
-1.3900 -5.7281 -2.0734
1.7685 0.8303 5.9354
K Cd
2 2
Direct
0.7500 0.3333 0.6667
0.2500 0.6667 0.3333
0.7500 0.0000 0.0000
0.2500 0.0000 0.0000
```

- DFT total energy: -4.0 eV per cell
- DOS at the Fermi energy: 0.740 states/eV per atom
- Magnetic moment: 0.0 μB/f.u.
- ρ: 2.742 g/cm³
- Energy of formation: 0.00 eV/atom

=====

- What is the formula in the third record?
  KCd